Record 1
Material: Li2Pd7Au
Method: DFT, GGA-PBE
State: optimized geometry

## Properties
- total DFT energy (no corrections) (eV per atom) = -4.04
- energy relative to the elements (kJ/mol of formula units) = 298

Cell: 7.173 11.769 4.162 Å, 90.00 90.00 90.00°
Space group Cmmm (No. 65)
Symmetry-distinct sites (fractional):
Li 0.000 0.195 0.000 [4 per cell]
Pd 0.000 0.000 0.000 [2 per cell]
Pd 0.000 0.268 0.500 [4 per cell]
Pd 0.189 0.380 0.000 [8 per cell]
Au 0.000 0.500 0.500 [2 per cell]

Record 2
Material: LaSmO3
Method: DFT, GGA-PBE
State: optimized geometry

## Properties
- total DFT energy (no corrections) (eV per atom) = -8.13

Cell: 6.2587 6.2587 3.2151 Å, 90.00 90.00 120.00°
Space group P-6m2 (No. 187)
Symmetry-distinct sites (fractional):
La 0.0000 0.0000 0.0000 [1 per cell]
Sm 0.3333 0.6667 0.0000 [1 per cell]
O 0.1706 0.3411 0.5000 [3 per cell]

Record 3
Material: Li6Tl2Pt
Method: DFT, GGA-PBE
State: optimized geometry

## Properties
- total DFT energy (no corrections) (eV per atom) = -2.69
- energy relative to the elements (kJ/mol of formula units) = -191
- offset from the most stable computed form (meV/atom) = 74.5

Cell: 6.377 4.309 6.558 Å, 90.00 116.41 90.00°
Space group P2/m (No. 10)
Symmetry-distinct sites (fractional):
Li 0.052 0.000 0.334 [2 per cell]
Li 0.247 0.500 0.257 [2 per cell]
Li 0.336 0.000 0.065 [2 per cell]
Tl 0.291 0.500 0.713 [2 per cell]
Pt 0.500 0.000 0.500 [1 per cell]

Record 4
Material: AgSb
Method: DFT, GGA-PBE
State: optimized geometry

## Properties
- total DFT energy (no corrections) (eV per atom) = -3.02
- offset from the most stable computed form (meV/atom) = 389.3

Cell: 8.601 8.601 8.601 Å, 90.00 90.00 90.00°
Space group I-43m (No. 217)
Symmetry-distinct sites (fractional):
Ag 0.176 0.176 0.176 [8 per cell]
Sb 0.145 0.145 0.855 [8 per cell]

Record 5
Material: CaNi2Ir2
Method: DFT, GGA-PBE
State: optimized geometry

## Properties
- total DFT energy (no corrections) (eV per atom) = -6.27
- energy relative to the elements (kJ/mol of formula units) = -7
- offset from the most stable computed form (meV/atom) = 0.0

Cell: 7.461 7.461 2.698 Å, 90.00 90.00 90.00°
Space group P4/mbm (No. 127)
Symmetry-distinct sites (fractional):
Ca 0.000 0.000 0.000 [2 per cell]
Ni 0.120 0.380 0.000 [4 per cell]
Ir 0.175 0.675 0.500 [4 per cell]

Record 6
Material: MgRe2Te
Method: DFT, GGA-PBE
State: optimized geometry

## Properties
- total DFT energy (no corrections) (eV per atom) = -6.55
- offset from the most stable computed form (meV/atom) = 650.0

Cell: 5.400 8.396 3.094 Å, 90.00 90.00 90.00°
Space group Cmmm (No. 65)
Symmetry-distinct sites (fractional):
Mg 0.000 0.000 0.000 [2 per cell]
Re 0.250 0.250 0.500 [4 per cell]
Te 0.000 0.500 0.000 [2 per cell]

Record 7
Material: GeSeBr
Method: DFT, GGA-PBE
State: optimized geometry

## Properties
- total DFT energy (no corrections) (eV per atom) = -3.02
- offset from the most stable computed form (meV/atom) = 624.8

Cell: 5.0995 5.0995 2.9783 Å, 90.00 90.00 120.00°
Space group P3m1 (No. 156)
Symmetry-distinct sites (fractional):
Ge 0.0000 0.0000 0.0000 [1 per cell]
Se 0.6667 0.3333 0.8557 [1 per cell]
Br 0.3333 0.6667 0.3069 [1 per cell]

Record 8
Material: Mg3Mo
Method: DFT, GGA-PBE
State: optimized geometry

## Properties
- total DFT energy (no corrections) (eV per atom) = -3.59
- energy relative to the elements (kJ/mol of formula units) = 120
- offset from the most stable computed form (meV/atom) = 114.8

Cell: 10.079 2.908 5.279 Å, 90.00 101.08 90.00°
Space group C2/m (No. 12)
Symmetry-distinct sites (fractional):
Mg 0.000 0.000 0.000 [2 per cell]
Mg 0.246 0.000 0.731 [4 per cell]
Mo 0.000 0.500 0.500 [2 per cell]

Record 9
Material: ThTc3P
Method: DFT, GGA-PBE
State: optimized geometry

## Properties
- total DFT energy (no corrections) (eV per atom) = -8.96
- energy relative to the elements (kJ/mol of formula units) = -83

Cell: 4.505 4.505 4.505 Å, 90.00 90.00 90.00°
Space group Pm-3m (No. 221)
Symmetry-distinct sites (fractional):
Th 0.000 0.000 0.000 [1 per cell]
Tc 0.000 0.500 0.500 [3 per cell]
P 0.500 0.500 0.500 [1 per cell]

Record 10
Material: Be3Pd7
Method: DFT, GGA-PBE
State: optimized geometry

## Properties
- total DFT energy (no corrections) (eV per atom) = -5.16
- energy relative to the elements (kJ/mol of formula units) = -396

Cell: 7.8412 7.8412 4.9185 Å, 90.00 90.00 120.00°
Space group P6_3mc (No. 186)
Symmetry-distinct sites (fractional):
Be 0.1904 0.3809 0.0000 [6 per cell]
Pd 0.0860 0.5430 0.7163 [6 per cell]
Pd 0.1239 0.2478 0.4291 [6 per cell]
Pd 0.3333 0.6667 0.2389 [2 per cell]

Record 11
Material: PrEr4Tm4
Method: DFT, GGA-PBE
State: optimized geometry

## Properties
- total DFT energy (no corrections) (eV per atom) = -4.51
- energy relative to the elements (kJ/mol of formula units) = 33
- offset from the most stable computed form (meV/atom) = 10.2

Cell: 6.670 8.575 10.586 Å, 78.09 74.79 76.02°
Space group P-1 (No. 2)
Symmetry-distinct sites (fractional):
Pr 0.241 0.465 0.216 [2 per cell]
Er 0.077 0.169 0.791 [2 per cell]
Er 0.081 0.163 0.125 [2 per cell]
Er 0.246 0.477 0.546 [2 per cell]
Er 0.250 0.474 0.880 [2 per cell]
Tm 0.085 0.162 0.461 [2 per cell]
Tm 0.381 0.836 0.630 [2 per cell]
Tm 0.388 0.842 0.961 [2 per cell]
Tm 0.392 0.840 0.297 [2 per cell]

Record 12
Material: TlGaO2
Method: DFT, GGA-PBE
State: optimized geometry

## Properties
- total DFT energy (no corrections) (eV per atom) = -5.21
- offset from the most stable computed form (meV/atom) = 19.6

Cell: 8.928 8.859 14.755 Å, 90.00 103.03 90.00°
Space group C2/c (No. 15)
Symmetry-distinct sites (fractional):
Tl 0.064 0.238 0.363 [8 per cell]
Tl 0.207 0.439 0.048 [8 per cell]
Ga 0.087 0.137 0.670 [8 per cell]
Ga 0.160 0.391 0.817 [8 per cell]
O 0.000 0.018 0.750 [4 per cell]
O 0.000 0.488 0.250 [4 per cell]
O 0.080 0.257 0.897 [8 per cell]
O 0.193 0.010 0.605 [8 per cell]
O 0.237 0.268 0.736 [8 per cell]

Record 13
Material: Sm3Sb2I2
Method: DFT, GGA-PBE
State: optimized geometry

## Properties
- total DFT energy (no corrections) (eV per atom) = -4.78

Cell: 14.689 4.415 7.865 Å, 90.00 99.71 90.00°
Space group C2/m (No. 12)
Symmetry-distinct sites (fractional):
Sm 0.000 0.000 0.000 [2 per cell]
Sm 0.249 0.000 0.780 [4 per cell]
Sb 0.119 0.500 0.864 [4 per cell]
I 0.126 0.000 0.382 [4 per cell]

Record 14
Material: Mg3OsCl
Method: DFT, GGA-PBE
State: optimized geometry

## Properties
- total DFT energy (no corrections) (eV per atom) = -3.15
- offset from the most stable computed form (meV/atom) = 0.0

Cell: 5.033 5.033 5.033 Å, 90.00 90.00 90.00°
Space group Pm-3m (No. 221)
Symmetry-distinct sites (fractional):
Mg 0.000 0.000 0.500 [3 per cell]
Os 0.000 0.000 0.000 [1 per cell]
Cl 0.500 0.500 0.500 [1 per cell]

Record 15
Material: Na2ErHg3
Method: DFT, GGA-PBE
State: optimized geometry

## Properties
- total DFT energy (no corrections) (eV per atom) = -1.63
- energy relative to the elements (kJ/mol of formula units) = -164

Cell: 5.180 15.543 7.545 Å, 90.00 90.00 90.00°
Space group Cmmm (No. 65)
Symmetry-distinct sites (fractional):
Na 0.000 0.000 0.000 [2 per cell]
Na 0.000 0.000 0.500 [2 per cell]
Na 0.000 0.335 0.000 [4 per cell]
Er 0.000 0.333 0.500 [4 per cell]
Hg 0.000 0.169 0.263 [8 per cell]
Hg 0.000 0.500 0.260 [4 per cell]

Record 16
Material: FeMo2Br
Method: DFT, GGA-PBE
State: optimized geometry

## Properties
- total DFT energy (no corrections) (eV per atom) = -7.46
- offset from the most stable computed form (meV/atom) = 41.7

Cell: 3.315 3.141 7.043 Å, 90.00 90.07 90.00°
Space group P2/m (No. 10)
Symmetry-distinct sites (fractional):
Fe 0.000 0.000 0.000 [1 per cell]
Mo 0.499 0.500 0.828 [2 per cell]
Br 0.500 0.000 0.500 [1 per cell]

Record 17
Material: Nb6VIn3
Method: DFT, GGA-PBE
State: optimized geometry

## Properties
- total DFT energy (no corrections) (eV per atom) = -7.50
- energy relative to the elements (kJ/mol of formula units) = 265

Cell: 10.147 5.333 7.454 Å, 90.00 106.77 90.00°
Space group C2/m (No. 12)
Symmetry-distinct sites (fractional):
Nb 0.157 0.246 0.319 [8 per cell]
Nb 0.159 0.000 0.927 [4 per cell]
V 0.000 0.000 0.500 [2 per cell]
In 0.000 0.500 0.000 [2 per cell]
In 0.101 0.500 0.682 [4 per cell]

Record 18
Material: Y2MgBePt6
Method: DFT, GGA-PBE
State: optimized geometry

## Properties
- total DFT energy (no corrections) (eV per atom) = -6.27
- energy relative to the elements (kJ/mol of formula units) = -795

Cell: 5.6302 5.6302 20.4945 Å, 90.00 90.00 120.00°
Space group R-3m (No. 166, hexagonal axes)
Symmetry-distinct sites (fractional):
Y 0.0000 0.0000 0.2104 [6 per cell]
Mg 0.0000 0.0000 0.5000 [3 per cell]
Be 0.0000 0.0000 0.0000 [3 per cell]
Pt 0.0070 0.5035 0.2636 [18 per cell]

Record 19
Material: Ba8PdPt3Cl4
Method: DFT, GGA-PBE
State: optimized geometry

## Properties
- total DFT energy (no corrections) (eV per atom) = -4.22

Cell: 9.0638 9.0638 24.1956 Å, 90.00 90.00 120.00°
Space group R-3m (No. 166, hexagonal axes)
Symmetry-distinct sites (fractional):
Ba 0.0000 0.0000 0.2406 [6 per cell]
Ba 0.0026 0.5013 0.7590 [18 per cell]
Pd 0.0000 0.0000 0.5000 [3 per cell]
Pt 0.0000 0.5000 0.5000 [9 per cell]
Cl 0.0000 0.0000 0.0000 [3 per cell]
Cl 0.0000 0.5000 0.0000 [9 per cell]

Number 1: ρ 9.03 g/cm³, DOS(E_F) 12.0 states/eV/f.u., M_tot 0.001 μB per cell. Number 2: ρ 5.13 g/cm³, DOS(E_F) 0.0 states/eV/f.u., M_tot 0.000 μB per cell. Number 3: ρ 6.64 g/cm³, DOS(E_F) 2.5 states/eV/f.u., M_tot 0.000 μB per cell. Number 4: ρ 4.79 g/cm³, DOS(E_F) 1.4 states/eV/f.u., M_tot 0.000 μB per cell. Number 5: ρ 11.98 g/cm³, DOS(E_F) 7.1 states/eV/f.u., M_tot 1.085 μB per cell. Number 6: ρ 12.41 g/cm³, DOS(E_F) 3.3 states/eV/f.u., M_tot 0.000 μB per cell. Number 7: ρ 5.73 g/cm³, DOS(E_F) 2.4 states/eV/f.u., M_tot 0.000 μB per cell. Number 8: ρ 3.69 g/cm³, DOS(E_F) 2.8 states/eV/f.u., M_tot 0.000 μB per cell. Number 9: ρ 10.12 g/cm³, DOS(E_F) 8.7 states/eV/f.u., M_tot 0.233 μB per cell. Number 10: ρ 9.79 g/cm³, DOS(E_F) 3.9 states/eV/f.u., M_tot 0.000 μB per cell. Number 11: ρ 8.81 g/cm³, DOS(E_F) 15.8 states/eV/f.u., M_tot 0.001 μB per cell. Number 12: ρ 7.15 g/cm³, DOS(E_F) 0.0 states/eV/f.u., M_tot 0.000 μB per cell. Number 13: ρ 6.27 g/cm³, DOS(E_F) 2.5 states/eV/f.u., M_tot 0.000 μB per cell. Number 14: ρ 3.89 g/cm³, DOS(E_F) 4.0 states/eV/f.u., M_tot 0.000 μB per cell. Number 15: ρ 8.91 g/cm³, DOS(E_F) 3.2 states/eV/f.u., M_tot 0.000 μB per cell. Number 16: ρ 7.42 g/cm³, DOS(E_F) 2.9 states/eV/f.u., M_tot 1.953 μB per cell. Number 17: ρ 8.19 g/cm³, DOS(E_F) 8.0 states/eV/f.u., M_tot 0.000 μB per cell. Number 18: ρ 12.23 g/cm³, DOS(E_F) 3.7 states/eV/f.u., M_tot 0.000 μB per cell. Number 19: ρ 5.59 g/cm³, DOS(E_F) 10.9 states/eV/f.u., M_tot 0.000 μB per cell.